## AcTm2Ti (PBE-GGA)

Data for crystalline AcTm2Ti at its relaxed geometry.

Computed properties:
Fermi-level density of states ... 5.49 states/eV/cell
VASP energy ... -0.1723 hartree per atom
SG ... No. 166
Total magnetization ... 2.0 μB/f.u.
ΔH_f (0 K) ... 0.548 eV/atom
Theoretical density ... 8.2 g/cm3

Cell: 3.4632 3.4632 12.1092 Å, 81.78 81.78 60.00°
Each line ends with the local moment (μB).
Element x y z (fractional)
Ac 0.5000 0.5000 0.5000  -0.01
Tm 0.0814 0.0814 0.7558  0.12
Tm 0.9186 0.9186 0.2442  0.12
Ti 0.0000 0.0000 0.0000  1.36